A geometry-optimized LaTbDy2 structure. Source: Alexandria, functional PBE-GGA.

The calculated total energy comes out at -4.656 eV/atom. As for the calculated volume: 132.2 Å³/f.u. The value obtained for the formation energy is 0.034 eV/atom.

It has space group I4/mmm (No. 139), with a = 5.1112 Å, b = 5.1112 Å, c = 10.1194 Å, α = 90.00°, β = 90.00° and γ = 90.00°. Symmetry generates all atoms from La at (0.0000, 0.0000, 0.0000), Tb at (0.0000, 0.0000, 0.5000) and Dy at (0.0000, 0.5000, 0.2500).

***

A geometry-optimized La2Tb3Dy3 structure. Source: Alexandria, functional PBE-GGA.

The calculated total energy comes out at -4.667 eV/atom. As for the calculated volume: 264.3 Å³/f.u. The value obtained for the formation energy is 0.027 eV/atom.

It has space group Immm (No. 71), with a = 5.1130 Å, b = 5.1131 Å, c = 20.2211 Å, α = 90.00°, β = 90.00° and γ = 90.00°. Symmetry generates all atoms from La at (0.0000, 0.0000, 0.2504), Tb at (0.0000, 0.0000, 0.0000), Tb at (0.0000, 0.5000, 0.3782), Dy at (0.0000, 0.0000, 0.5000) and Dy at (0.0000, 0.5000, 0.1218).